Na3SmTm3Te8 | Alexandria via LeMat-Bulk | PBE | optimized geometry; VASP energy = -65.74 eV for the cell shown; formation energy without anion corrections = -1.234 eV/atom
1.0
8.693 0.000 0.000
-4.347 7.533 -0.031
0.000 -4.996 7.674
Na Sm Tm Te
3 1 3 8
direct
0.000 0.000 0.000
0.000 0.500 0.000
0.500 0.500 0.000
0.000 0.000 0.500
0.500 0.000 0.500
0.500 0.500 0.500
0.000 0.500 0.500
0.257 0.513 0.270
0.743 0.487 0.730
0.750 0.501 0.267
0.250 0.499 0.733
0.750 0.016 0.267
0.250 0.984 0.733
0.266 0.016 0.267
0.734 0.984 0.733